[1]
Computed, not measured: crystalline Cs2CrPbCl6 at its relaxed geometry at the PBE level of DFT.

Unit cell a=10.7633 b=10.7633 c=10.7633 alpha=90.00 beta=90.00 gamma=90.00
Space group Fm-3m (No. 225)
Symmetry-distinct sites (fractional):
Cs 0.2500 0.2500 0.2500
Cr 0.0000 0.0000 0.0000
Pb 0.0000 0.0000 0.5000
Cl 0.0000 0.0000 0.2324

Calculated values
The value obtained for the density of states at the Fermi level is 12.98 states/eV per cell. For the formation energy (no corrections), the calculation gives -1.4533 eV/atom.



[2]
Computed, not measured: crystalline DyCoSn at its relaxed geometry at the PBE level of DFT.

Unit cell a=4.4890 b=4.4890 c=3.5900 alpha=90.00 beta=90.00 gamma=120.00
Space group P-6m2 (No. 187)
Symmetry-distinct sites (fractional):
Dy 0.0000 0.0000 0.0000
Co 0.6667 0.3333 0.5000
Sn 0.3333 0.6667 0.5000

Calculated values
The calculation puts the formation energy at -111 kJ/mol of formula units. The value obtained for the density of states at the Fermi level is 2.31 states/eV per cell.



[3]
Computed, not measured: crystalline Ac6As3S2Cl at its relaxed geometry at the PBE level of DFT.

Unit cell a=19.2491 b=4.4578 c=8.8345 alpha=90.00 beta=102.02 gamma=90.00
Space group C2/m (No. 12)
Symmetry-distinct sites (fractional):
Ac 0.0021 0.0000 0.2618
Ac 0.1683 0.5000 0.5827
Ac 0.1721 0.5000 0.0901
As 0.0000 0.5000 0.5000
As 0.1636 0.0000 0.8347
S 0.1665 0.0000 0.3331
Cl 0.0000 0.5000 0.0000

Calculated values
The value obtained for the density of states at the Fermi level is 10.57 states/eV per cell. For the formation energy (no corrections), the calculation gives -1.6984 eV/atom.



[4]
Computed, not measured: crystalline YTaZn2Te at its relaxed geometry at the PBE level of DFT.

Unit cell a=5.0487 b=5.0487 c=5.6547 alpha=90.00 beta=90.00 gamma=90.00
Space group P4/mmm (No. 123)
Symmetry-distinct sites (fractional):
Y 0.0000 0.0000 0.0000
Ta 0.5000 0.5000 0.0000
Zn 0.0000 0.5000 0.5000
Te 0.0000 0.0000 0.5000

Calculated values
The value obtained for the density of states at the Fermi level is 6.41 states/eV per cell. For the formation energy (no corrections), the calculation gives 1.1578 eV/atom.